[1]
Computed, not measured: an optimized crystal structure of Zr3FeIr2 at the PBE level of DFT.

CIF file:
```
data_Zr3FeIr2
_space_group_name_H-M_alt 'C m m m'
_space_group_IT_number 65
_space_group_name_Hall '-C 2 2'
_cell_length_a 4.634
_cell_length_b 13.899
_cell_length_c 6.568
_cell_angle_alpha 90.00
_cell_angle_beta 90.00
_cell_angle_gamma 90.00
loop_
_atom_site_label
_atom_site_type_symbol
_atom_site_fract_x
_atom_site_fract_y
_atom_site_fract_z
Zr1 Zr 0.000 0.000 0.247
Zr2 Zr 0.000 0.331 0.244
Fe1 Fe 0.000 0.166 0.000
Ir1 Ir 0.000 0.165 0.500
Ir2 Ir 0.000 0.500 0.000
Ir3 Ir 0.000 0.500 0.500
```

Computed properties:
Calculated formation energy ... -608 meV per atom
Total DFT energy (no corrections) ... -9.25 eV per atom
Magnetization ... 4.9 μB per cell

[2]
Computed, not measured: an optimized crystal structure of TiTc2Pt at the PBE level of DFT.

CIF file:
```
data_TiTc2Pt
_space_group_name_H-M_alt 'F m -3 m'
_space_group_IT_number 225
_space_group_name_Hall '-F 4 2 3'
_cell_length_a 6.244
_cell_length_b 6.244
_cell_length_c 6.244
_cell_angle_alpha 90.00
_cell_angle_beta 90.00
_cell_angle_gamma 90.00
loop_
_atom_site_label
_atom_site_type_symbol
_atom_site_fract_x
_atom_site_fract_y
_atom_site_fract_z
Ti1 Ti 0.000 0.000 0.000
Tc1 Tc 0.250 0.250 0.250
Pt1 Pt 0.000 0.000 0.500
```

Computed properties:
Calculated formation energy ... -65 meV per atom
Total DFT energy (no corrections) ... -8.73 eV per atom
Magnetization ... 0.0 μB per cell
Offset from the most stable computed form ... 0.0 meV per atom

[3]
Computed, not measured: an optimized crystal structure of Ta2CrRe at the PBE level of DFT.

CIF file:
```
data_Ta2CrRe
_space_group_name_H-M_alt 'R -3 m'
_space_group_IT_number 166
_space_group_name_Hall '-R 3 2"'
_cell_length_a 2.9950
_cell_length_b 2.9950
_cell_length_c 24.9082
_cell_angle_alpha 90.00
_cell_angle_beta 90.00
_cell_angle_gamma 120.00
loop_
_atom_site_label
_atom_site_type_symbol
_atom_site_fract_x
_atom_site_fract_y
_atom_site_fract_z
Ta1 Ta 0.0000 0.0000 0.2464
Cr1 Cr 0.0000 0.0000 0.5000
Re1 Re 0.0000 0.0000 0.0000
```

Computed properties:
Calculated formation energy ... 218 meV per atom
Total DFT energy (no corrections) ... -11.23 eV per atom
Magnetization ... 0.0 μB per cell

[4]
Computed, not measured: an optimized crystal structure of Zn7Ga12Ag at the PBE level of DFT.

CIF file:
```
data_Zn7Ga12Ag
_space_group_name_H-M_alt 'R -3 m'
_space_group_IT_number 166
_space_group_name_Hall '-R 3 2"'
_cell_length_a 12.0869
_cell_length_b 12.0869
_cell_length_c 8.4855
_cell_angle_alpha 90.00
_cell_angle_beta 90.00
_cell_angle_gamma 120.00
loop_
_atom_site_label
_atom_site_type_symbol
_atom_site_fract_x
_atom_site_fract_y
_atom_site_fract_z
Zn1 Zn 0.0000 0.0000 0.0000
Zn2 Zn 0.0713 0.5357 0.1215
Ga1 Ga 0.0000 0.2848 0.0000
Ga2 Ga 0.0869 0.1738 0.7669
Ag1 Ag 0.0000 0.0000 0.5000
```

Computed properties:
Calculated formation energy ... 45 meV per atom
Total DFT energy (no corrections) ... -2.36 eV per atom
Magnetization ... 0.0 μB per cell

[5]
Computed, not measured: an optimized crystal structure of LaCuP2 at the PBE level of DFT.

CIF file:
```
data_LaCuP2
_space_group_name_H-M_alt 'P 1 m 1'
_space_group_IT_number 6
_space_group_name_Hall 'P -2y'
_cell_length_a 4.205
_cell_length_b 4.522
_cell_length_c 4.482
_cell_angle_alpha 90.00
_cell_angle_beta 90.80
_cell_angle_gamma 90.00
loop_
_atom_site_label
_atom_site_type_symbol
_atom_site_fract_x
_atom_site_fract_y
_atom_site_fract_z
La1 La 0.000 0.000 0.000
Cu1 Cu 0.544 0.500 0.381
P1 P 0.488 0.500 0.889
P2 P 0.501 0.000 0.533
```

Computed properties:
Calculated formation energy ... -648 meV per atom
Total DFT energy (no corrections) ... -5.61 eV per atom
Magnetization ... 0.0 μB per cell

[6]
Computed, not measured: an optimized crystal structure of U4Ga12Ru at the PBE level of DFT.

CIF file:
```
data_U4Ga12Ru
_space_group_name_H-M_alt 'I m -3 m'
_space_group_IT_number 229
_space_group_name_Hall '-I 4 2 3'
_cell_length_a 8.585
_cell_length_b 8.585
_cell_length_c 8.585
_cell_angle_alpha 90.00
_cell_angle_beta 90.00
_cell_angle_gamma 90.00
loop_
_atom_site_label
_atom_site_type_symbol
_atom_site_fract_x
_atom_site_fract_y
_atom_site_fract_z
U1 U 0.250 0.250 0.250
Ga1 Ga 0.000 0.000 0.291
Ga2 Ga 0.000 0.250 0.500
Ru1 Ru 0.000 0.000 0.000
```

Computed properties:
Calculated formation energy ... -273 meV per atom
Total DFT energy (no corrections) ... -5.61 eV per atom
Magnetization ... 16.4 μB per cell

[7]
Computed, not measured: an optimized crystal structure of La2CrPt at the PBE level of DFT.

CIF file:
```
data_La2CrPt
_space_group_name_H-M_alt 'A m m 2'
_space_group_IT_number 38
_space_group_name_Hall 'A 2 -2'
_cell_length_a 4.537
_cell_length_b 4.084
_cell_length_c 11.307
_cell_angle_alpha 90.00
_cell_angle_beta 90.00
_cell_angle_gamma 90.00
loop_
_atom_site_label
_atom_site_type_symbol
_atom_site_fract_x
_atom_site_fract_y
_atom_site_fract_z
La1 La 0.000 0.000 0.000
La2 La 0.500 0.000 0.286
Cr1 Cr 0.000 0.000 0.712
Pt1 Pt 0.500 0.000 0.572
```

Computed properties:
Calculated formation energy ... -340 meV per atom
Total DFT energy (no corrections) ... -6.72 eV per atom
Magnetization ... 7.1 μB per cell
Offset from the most stable computed form ... 0.0 meV per atom

[8]
Computed, not measured: an optimized crystal structure of CdIrRh2 at the PBE level of DFT.

CIF file:
```
data_CdIrRh2
_space_group_name_H-M_alt 'P 1 2/m 1'
_space_group_IT_number 10
_space_group_name_Hall '-P 2y'
_cell_length_a 4.849
_cell_length_b 2.784
_cell_length_c 4.915
_cell_angle_alpha 90.00
_cell_angle_beta 111.08
_cell_angle_gamma 90.00
loop_
_atom_site_label
_atom_site_type_symbol
_atom_site_fract_x
_atom_site_fract_y
_atom_site_fract_z
Cd1 Cd 0.000 0.000 0.000
Ir1 Ir 0.000 0.500 0.500
Rh1 Rh 0.500 0.000 0.500
Rh2 Rh 0.500 0.500 0.000
```

Computed properties:
Calculated formation energy ... 131 meV per atom
Total DFT energy (no corrections) ... -5.99 eV per atom
Magnetization ... 0.0 μB per cell

[9]
Computed, not measured: an optimized crystal structure of ErPuIn at the PBE level of DFT.

CIF file:
```
data_ErPuIn
_space_group_name_H-M_alt 'P 63/m m c'
_space_group_IT_number 194
_space_group_name_Hall '-P 6c 2c'
_cell_length_a 5.3959
_cell_length_b 5.3959
_cell_length_c 6.4024
_cell_angle_alpha 90.00
_cell_angle_beta 90.00
_cell_angle_gamma 120.00
loop_
_atom_site_label
_atom_site_type_symbol
_atom_site_fract_x
_atom_site_fract_y
_atom_site_fract_z
Er1 Er 0.3333 0.6667 0.2500
Pu1 Pu 0.0000 0.0000 0.0000
In1 In 0.3333 0.6667 0.7500
```

Computed properties:
Calculated formation energy ... -225 meV per atom
Total DFT energy (no corrections) ... -7.44 eV per atom
Magnetization ... 12.2 μB per cell
Offset from the most stable computed form ... 0.0 meV per atom

- Which formula does entry 6 have?
  U4Ga12Ru